# 1
First-principles (GGA-PBE) data for a relaxed structure of AlTe2Mo, as listed in Alexandria via LeMat-Bulk.

## Properties
Uncorrected energy ... -18.398 eV/f.u.
Symmetry ... I-4m2
Formation energy without anion corrections ... 0.61 eV per atom
Crystal system ... tetragonal

Geometry as extended XYZ:
```
4
Lattice="-1.1692 4.2187 3.3131 -5.0374 -0.3444 2.1557 4.2238 -3.4883 -0.3638" Properties=species:S:1:pos:R:3 pbc="T T T"
Mo -0.0244 1.3338 2.8418
Te 0.0000 0.0000 0.0000
Te -1.9585 -0.9478 2.2631
Al -3.1033 1.9371 2.7344
```

***

# 2
First-principles (GGA-PBE) data for a relaxed structure of AlTeMo2, as listed in Alexandria via LeMat-Bulk.

## Properties
Uncorrected energy ... -26.450 eV/f.u.
Symmetry ... Cmmm
Energy above the most stable polymorph in this dataset ... 0.474 eV/atom
Formation energy without anion corrections ... 0.52 eV per atom
Crystal system ... orthorhombic

Geometry as extended XYZ:
```
4
Lattice="-2.7120 0.1950 1.1125 1.1242 -2.6164 0.7221 3.2251 3.3914 7.2674" Properties=species:S:1:pos:R:3 pbc="T T T"
Mo 3.1779 3.3418 7.1611
Mo 1.6598 1.7453 3.7401
Te 0.0124 -0.3629 2.7342
Al 1.6249 1.3328 6.3679
```

***

# 3
First-principles (GGA-PBE) data for a relaxed structure of AlTe2Mo, as listed in Alexandria via LeMat-Bulk.

## Properties
Uncorrected energy ... -19.299 eV/f.u.
Symmetry ... Imm2
Formation energy without anion corrections ... 0.39 eV per atom
Crystal system ... orthorhombic

Geometry as extended XYZ:
```
4
Lattice="5.8959 -0.0112 -0.0066 2.6630 5.2602 0.0066 -3.5799 -3.7651 2.7874" Properties=species:S:1:pos:R:3 pbc="T T T"
Mo 3.2856 -0.5834 1.3904
Te 8.2549 5.0625 0.0000
Te 1.8024 2.1340 1.3970
Al 4.4745 2.7441 0.0000
```

***

# 4
First-principles (GGA-PBE) data for a relaxed structure of AlTeMo3, as listed in Alexandria via LeMat-Bulk.

## Properties
Uncorrected energy ... -30.551 eV/f.u.
Symmetry ... Pm-3m
Energy above the most stable polymorph in this dataset ... 0.320 eV/atom
Formation energy without anion corrections ... 1.77 eV per atom
Crystal system ... cubic

Geometry as extended XYZ:
```
5
Lattice="-0.6624 -4.2640 -2.2328 3.9894 0.7746 -2.6628 2.6929 -2.1964 3.3956" Properties=species:S:1:pos:R:3 pbc="T T T"
Mo 1.9947 0.3873 -1.3314
Mo 1.3465 -1.0982 1.6978
Mo -0.3312 -2.1320 -1.1164
Te 0.0000 0.0000 0.0000
Al 3.0100 -2.8429 -0.7500
```

***

# 5
First-principles (GGA-PBE) data for a relaxed structure of AlTe2Mo, as listed in Alexandria via LeMat-Bulk.

## Properties
Uncorrected energy ... -20.145 eV/f.u.
Symmetry ... P4/mmm
Formation energy without anion corrections ... 0.18 eV per atom
Crystal system ... tetragonal

Geometry as extended XYZ:
```
4
Lattice="3.3458 0.0000 0.0000 0.0000 3.3458 0.0000 0.0000 0.0000 7.6772" Properties=species:S:1:pos:R:3 pbc="T T T"
Mo 1.6729 1.6729 5.7579
Te 0.0000 0.0000 7.4133
Te 0.0000 0.0000 4.1024
Al 1.6729 1.6729 1.9193
```

***

# 6
First-principles (GGA-PBE) data for a relaxed structure of AlTe2Mo, as listed in Alexandria via LeMat-Bulk.

## Properties
Uncorrected energy ... -18.824 eV/f.u.
Symmetry ... Cmmm
Formation energy without anion corrections ... 0.51 eV per atom
Crystal system ... orthorhombic

Geometry as extended XYZ:
```
4
Lattice="3.1644 -0.0004 0.0000 -1.3492 2.8623 0.0000 0.0000 0.0000 10.1254" Properties=species:S:1:pos:R:3 pbc="T T T"
Mo 0.9076 1.4310 7.5940
Te 0.0000 0.0000 9.7822
Te 0.0000 0.0000 5.4059
Al 0.9076 1.4310 2.5313
```

***

# 7
First-principles (GGA-PBE) data for a relaxed structure of AlTe2Mo, as listed in Alexandria via LeMat-Bulk.

## Properties
Uncorrected energy ... -21.212 eV/f.u.
Symmetry ... P4mm
Formation energy without anion corrections ... -0.09 eV per atom
Crystal system ... tetragonal

Geometry as extended XYZ:
```
4
Lattice="3.4061 0.0000 0.0000 0.0000 3.4061 0.0000 0.0000 0.0000 8.0346" Properties=species:S:1:pos:R:3 pbc="T T T"
Mo 1.7031 1.7031 5.6530
Te 0.0000 0.0000 7.2665
Te 1.7031 1.7031 2.7958
Al 0.0000 0.0000 4.3714
```

***

# 8
First-principles (GGA-PBE) data for a relaxed structure of AlTe2Mo, as listed in Alexandria via LeMat-Bulk.

## Properties
Uncorrected energy ... -18.778 eV/f.u.
Symmetry ... Immm
Formation energy without anion corrections ... 0.52 eV per atom
Crystal system ... orthorhombic

Geometry as extended XYZ:
```
4
Lattice="-2.1607 4.8614 -0.2025 -1.1747 0.3700 -5.1794 -1.3413 -2.9757 4.2058" Properties=species:S:1:pos:R:3 pbc="T T T"
Mo -2.5848 2.2507 0.6562
Te -0.0234 0.0367 -0.0378
Te -1.6443 2.5790 -2.6532
Al -2.0919 0.0050 -1.8322
```

***

# 9
First-principles (GGA-PBE) data for a relaxed structure of AlTeMo2, as listed in Alexandria via LeMat-Bulk.

## Properties
Uncorrected energy ... -27.450 eV/f.u.
Symmetry ... Fm-3m
Energy above the most stable polymorph in this dataset ... 0.224 eV/atom
Formation energy without anion corrections ... 0.27 eV per atom
Crystal system ... cubic

Geometry as extended XYZ:
```
4
Lattice="0.0000 3.2279 3.2279 3.2279 0.0000 3.2279 3.2279 3.2279 0.0000" Properties=species:S:1:pos:R:3 pbc="T T T"
Mo 1.6140 1.6140 1.6140
Mo 4.8419 4.8419 4.8419
Te 3.2279 3.2279 3.2279
Al 0.0000 0.0000 0.0000
```

***

# 10
First-principles (GGA-PBE) data for a relaxed structure of AlTe2Mo, as listed in Alexandria via LeMat-Bulk.

## Properties
Uncorrected energy ... -20.849 eV/f.u.
Symmetry ... Cm
Formation energy without anion corrections ... 0.00 eV per atom
Crystal system ... monoclinic

Geometry as extended XYZ:
```
4
Lattice="-2.0173 -2.1105 -3.7900 1.3461 -1.7056 -4.2623 0.9976 -6.6205 1.4272" Properties=species:S:1:pos:R:3 pbc="T T T"
Mo 0.1645 -3.1797 -1.5546
Te -0.5523 -4.3507 -7.6646
Te 0.1332 -7.1536 -5.1860
Al 0.0731 -4.7871 -3.5847
```

***

# 11
First-principles (GGA-PBE) data for a relaxed structure of AlTeMo2, as listed in Alexandria via LeMat-Bulk.

## Properties
Uncorrected energy ... -27.062 eV/f.u.
Symmetry ... F-43m
Energy above the most stable polymorph in this dataset ... 0.321 eV/atom
Formation energy without anion corrections ... 0.37 eV per atom
Crystal system ... cubic

Geometry as extended XYZ:
```
4
Lattice="-0.5354 -3.0781 3.4129 3.4154 -2.9544 1.0077 2.3826 0.4742 3.9380" Properties=species:S:1:pos:R:3 pbc="T T T"
Mo 0.0000 0.0000 0.0000
Mo 1.3156 -1.3896 2.0896
Te 3.9469 -4.1688 6.2689
Al 2.6313 -2.7792 4.1792
```

***

# 12
First-principles (GGA-PBE) data for a relaxed structure of AlTe2Mo, as listed in Alexandria via LeMat-Bulk.

## Properties
Uncorrected energy ... -20.180 eV/f.u.
Symmetry ... R-3m
Formation energy without anion corrections ... 0.17 eV per atom
Crystal system ... trigonal

Geometry as extended XYZ:
```
4
Lattice="1.9723 0.0000 9.9216 -0.9862 1.7081 9.9216 -0.9862 -1.7081 9.9216" Properties=species:S:1:pos:R:3 pbc="T T T"
Mo 0.0000 0.0000 14.8824
Te 0.0000 0.0000 26.7071
Te 0.0000 0.0000 3.0577
Al 0.0000 0.0000 0.0000
```

***

Q: The lowest uncorrected energy belongs to which entry?
A: AlTeMo3